KUIn2O8 after structural relaxation. Source: Alexandria, functional PBE.

Calculated values
- Symmetry: C2/m, No. 12
- Raw total energy: -6.56 eV/atom
- Formation energy from raw total energies: -1.77 eV per atom

a = 5.0606 Å, b = 5.0606 Å, c = 8.0266 Å
α = 90.54°, β = 90.54°, γ = 86.07°
Fractional coordinates of all 12 atoms:
K 0.0000 0.0000 0.0000
U 0.0000 0.0000 0.5000
In 0.4902 0.4902 0.3136
In 0.5098 0.5098 0.6864
O 0.1960 0.8018 0.6959
O 0.1982 0.8040 0.3041
O 0.2920 0.2920 0.5048
O 0.4196 0.4196 0.0401
O 0.5804 0.5804 0.9599
O 0.7080 0.7080 0.4952
O 0.8018 0.1960 0.6959
O 0.8040 0.1982 0.3041